one) This record from Alexandria via LeMat-Bulk describes crystalline ZnCd2Sb at its relaxed geometry. The functional is PBE-GGA.

The calculated density is 6.859 g/cm3. The density of states at the Fermi level is 5.832 states/eV per cell.

The structure belongs to space group I-42d (No. 122); the cell edges are 4.656, 4.656 and 18.408 Å and the angles 90.00°, 90.00° and 90.00°. The asymmetric unit holds Zn at (0.000, 0.000, 0.000), Cd at (0.198, 0.250, 0.125) and Sb at (0.000, 0.000, 0.500).

---

two) This record from Alexandria via LeMat-Bulk describes crystalline ZnCd2Sb at its relaxed geometry. The functional is PBE-GGA.

The calculated density is 7.282 g/cm3. The density of states at the Fermi level is 1.314 states/eV per cell.

The structure belongs to space group Pmm2 (No. 25); the cell edges are 3.061, 4.250 and 7.224 Å and the angles 90.00°, 90.00° and 90.00°. The asymmetric unit holds Zn at (0.000, 0.000, 0.000), Cd at (0.000, 0.000, 0.562), Cd at (0.500, 0.500, 0.801) and Sb at (0.000, 0.500, 0.256).

---

Which structure is the least stable? The one labeled one).

---

one) This record from Alexandria via LeMat-Bulk describes crystalline ZnCd2Sb at its relaxed geometry. The functional is PBE-GGA.

The calculated density is 7.559 g/cm3. The density of states at the Fermi level is 4.327 states/eV per cell.

The structure belongs to space group Cmmm (No. 65); the cell edges are 4.469, 4.477 and 9.046 Å and the angles 90.00°, 90.00° and 90.00°. The asymmetric unit holds Zn at (0.000, 0.000, 0.000), Cd at (0.000, 0.500, 0.213) and Sb at (0.000, 0.000, 0.500).

---

two) This record from Alexandria via LeMat-Bulk describes crystalline ZnCd2Sb at its relaxed geometry. The functional is PBE-GGA.

The calculated density is 7.216 g/cm3. The density of states at the Fermi level is 10.113 states/eV per cell.

The structure belongs to space group Fm-3m (No. 225); the cell edges are 7.238, 7.238 and 7.238 Å and the angles 90.00°, 90.00° and 90.00°. The asymmetric unit holds Zn at (0.000, 0.000, 0.000), Cd at (0.250, 0.250, 0.250) and Sb at (0.000, 0.000, 0.500).

---

three) This record from Alexandria via LeMat-Bulk describes crystalline ZnCd2Sb at its relaxed geometry. The functional is PBE-GGA.

The calculated density is 7.327 g/cm3. The density of states at the Fermi level is 1.238 states/eV per cell.

The structure belongs to space group P2/m (No. 10); the cell edges are 3.321, 5.621 and 5.008 Å and the angles 90.00°, 93.06° and 90.00°. The asymmetric unit holds Zn at (0.000, 0.000, 0.000), Cd at (0.247, 0.500, 0.245) and Sb at (0.500, 0.000, 0.500).

---

Which structure is the least stable? The one labeled two).

---

one) This record from Alexandria via LeMat-Bulk describes crystalline ZnCd2Sb at its relaxed geometry. The functional is PBE-GGA.

The calculated density is 7.399 g/cm3. The density of states at the Fermi level is 3.382 states/eV per cell.

The structure belongs to space group Imm2 (No. 44); the cell edges are 4.208, 5.083 and 8.644 Å and the angles 90.00°, 90.00° and 90.00°. The asymmetric unit holds Zn at (0.000, 0.000, 0.000), Cd at (0.000, 0.000, 0.497), Cd at (0.000, 0.500, 0.733) and Sb at (0.000, 0.500, 0.270).

---

two) This record from Alexandria via LeMat-Bulk describes crystalline ZnCd2Sb at its relaxed geometry. The functional is PBE-GGA.

The calculated density is 7.534 g/cm3. The density of states at the Fermi level is 2.004 states/eV per cell.

The structure belongs to space group P4mm (No. 99); the cell edges are 3.169, 3.169 and 9.040 Å and the angles 90.00°, 90.00° and 90.00°. The asymmetric unit holds Zn at (0.000, 0.000, 0.000), Cd at (0.000, 0.000, 0.465), Cd at (0.500, 0.500, 0.213) and Sb at (0.500, 0.500, 0.754).

---

three) This record from Alexandria via LeMat-Bulk describes crystalline ZnCd2Sb at its relaxed geometry. The functional is PBE-GGA.

The calculated density is 7.176 g/cm3. The density of states at the Fermi level is 2.117 states/eV per cell.

The structure belongs to space group Cm (No. 8); the cell edges are 8.397, 3.293 and 7.022 Å and the angles 90.00°, 100.87° and 90.00°. The asymmetric unit holds Zn at (0.000, 0.000, 0.000), Cd at (0.012, 0.500, 0.514), Cd at (0.262, 0.000, 0.773) and Sb at (0.248, 0.500, 0.224).

---

four) This record from Alexandria via LeMat-Bulk describes crystalline ZnCd2Sb at its relaxed geometry. The functional is PBE-GGA.

The calculated density is 7.361 g/cm3. The density of states at the Fermi level is 2.295 states/eV per cell.

The structure belongs to space group C2/m (No. 12); the cell edges are 5.818, 11.223 and 3.337 Å and the angles 90.00°, 121.45° and 90.00°. The asymmetric unit holds Zn at (0.000, 0.000, 0.000), Cd at (0.250, 0.250, 0.000) and Sb at (0.000, 0.500, 0.000).

---

Which structure is the least stable? The one labeled two).

---

one) This record from Alexandria via LeMat-Bulk describes crystalline ZnCd2Sb at its relaxed geometry. The functional is PBE-GGA.

The calculated density is 7.498 g/cm3. The density of states at the Fermi level is 3.052 states/eV per cell.

The structure belongs to space group I4/mmm (No. 139); the cell edges are 4.309, 4.309 and 9.828 Å and the angles 90.00°, 90.00° and 90.00°. The asymmetric unit holds Zn at (0.000, 0.000, 0.000), Cd at (0.000, 0.500, 0.250) and Sb at (0.000, 0.000, 0.500).

---

two) This record from Alexandria via LeMat-Bulk describes crystalline ZnCd2Sb at its relaxed geometry. The functional is PBE-GGA.

The calculated density is 7.476 g/cm3. The density of states at the Fermi level is 1.894 states/eV per cell.

The structure belongs to space group Pmmm (No. 47); the cell edges are 3.264, 4.331 and 6.473 Å and the angles 90.00°, 90.00° and 90.00°. The asymmetric unit holds Zn at (0.000, 0.000, 0.000), Cd at (0.500, 0.500, 0.226) and Sb at (0.000, 0.000, 0.500).

---

Which structure is the least stable? The one labeled two).

---

one) This record from Alexandria via LeMat-Bulk describes crystalline ZnCd2Sb at its relaxed geometry. The functional is PBE-GGA.

The calculated density is 7.434 g/cm3. The density of states at the Fermi level is 2.894 states/eV per cell.

The structure belongs to space group Cmm2 (No. 35); the cell edges are 3.999, 5.055 and 9.106 Å and the angles 90.00°, 90.00° and 90.00°. The asymmetric unit holds Zn at (0.000, 0.000, 0.000), Cd at (0.000, 0.000, 0.477), Cd at (0.000, 0.500, 0.219) and Sb at (0.000, 0.500, 0.764).

---

two) This record from Alexandria via LeMat-Bulk describes crystalline ZnCd2Sb at its relaxed geometry. The functional is PBE-GGA.

The calculated density is 7.414 g/cm3. The density of states at the Fermi level is 4.637 states/eV per cell.

The structure belongs to space group Cmmm (No. 65); the cell edges are 6.038, 9.175 and 3.331 Å and the angles 90.00°, 90.00° and 90.00°. The asymmetric unit holds Zn at (0.000, 0.000, 0.000), Cd at (0.250, 0.250, 0.500) and Sb at (0.000, 0.500, 0.000).

---

Which structure is the least stable? The one labeled two).

---

one) This record from Alexandria via LeMat-Bulk describes crystalline ZnCd2Sb at its relaxed geometry. The functional is PBE-GGA.

The calculated density is 7.193 g/cm3. The density of states at the Fermi level is 2.097 states/eV per cell.

The structure belongs to space group P4/mmm (No. 123); the cell edges are 4.088, 4.088 and 5.692 Å and the angles 90.00°, 90.00° and 90.00°. The asymmetric unit holds Zn at (0.000, 0.000, 0.000), Cd at (0.500, 0.500, 0.246) and Sb at (0.000, 0.000, 0.500).

---

two) This record from Alexandria via LeMat-Bulk describes crystalline ZnCd2Sb at its relaxed geometry. The functional is PBE-GGA.

The calculated density is 7.409 g/cm3. The density of states at the Fermi level is 1.910 states/eV per cell.

The structure belongs to space group R-3m (No. 166, hexagonal axes); the cell edges are 3.4143, 3.4143 and 27.4380 Å and the angles 90.00°, 90.00° and 120.00°. The asymmetric unit holds Zn at (0.0000, 0.0000, 0.0000), Cd at (0.0000, 0.0000, 0.2592) and Sb at (0.0000, 0.0000, 0.5000).

---

Which structure is the least stable? The one labeled one).